Record 1
# Gd2Er3Lu3 | OQMD via LeMat-Bulk | GGA-PBE | optimized geometry
data_Gd2Er3Lu3
_symmetry_space_group_name_H-M 'P 1'
_symmetry_Int_Tables_number 1
_symmetry_space_group_name_Hall 'P 1'
_cell_length_a 5.550
_cell_length_b 7.121
_cell_length_c 12.332
_cell_angle_alpha 90.00
_cell_angle_beta 90.00
_cell_angle_gamma 90.00
loop_
_atom_site_label
_atom_site_fract_x
_atom_site_fract_y
_atom_site_fract_z
Gd1 0.000 0.000 0.000
Gd2 0.000 0.500 0.500
Gd3 0.500 0.000 0.333
Gd4 0.500 0.500 0.833
Er1 0.000 0.000 0.501
Er2 0.000 0.500 0.001
Er3 0.500 0.249 0.584
Er4 0.500 0.251 0.084
Er5 0.500 0.749 0.084
Er6 0.500 0.751 0.584
Lu1 0.000 0.249 0.749
Lu2 0.000 0.251 0.249
Lu3 0.000 0.749 0.249
Lu4 0.000 0.751 0.749
Lu5 0.500 0.000 0.832
Lu6 0.500 0.500 0.332
# **SG**: Amm2

***

Record 2
# PrAlMo | OQMD via LeMat-Bulk | GGA-PBE | optimized geometry
data_PrAlMo
_symmetry_space_group_name_H-M 'P 1'
_symmetry_Int_Tables_number 1
_symmetry_space_group_name_Hall 'P 1'
_cell_length_a 6.803
_cell_length_b 6.803
_cell_length_c 6.803
_cell_angle_alpha 90.00
_cell_angle_beta 90.00
_cell_angle_gamma 90.00
loop_
_atom_site_label
_atom_site_fract_x
_atom_site_fract_y
_atom_site_fract_z
Pr1 0.000 0.000 0.000
Pr2 0.000 0.500 0.500
Pr3 0.500 0.000 0.500
Pr4 0.500 0.500 0.000
Al1 0.250 0.250 0.750
Al2 0.250 0.750 0.250
Al3 0.750 0.250 0.250
Al4 0.750 0.750 0.750
Mo1 0.250 0.250 0.250
Mo2 0.250 0.750 0.750
Mo3 0.750 0.250 0.750
Mo4 0.750 0.750 0.250
# **SG**: F-43m

***

Record 3
# ErHfIn | OQMD via LeMat-Bulk | GGA-PBE | optimized geometry
data_ErHfIn
_symmetry_space_group_name_H-M 'P 1'
_symmetry_Int_Tables_number 1
_symmetry_space_group_name_Hall 'P 1'
_cell_length_a 7.069
_cell_length_b 7.069
_cell_length_c 7.069
_cell_angle_alpha 90.00
_cell_angle_beta 90.00
_cell_angle_gamma 90.00
loop_
_atom_site_label
_atom_site_fract_x
_atom_site_fract_y
_atom_site_fract_z
Er1 0.000 0.000 0.000
Er2 0.000 0.500 0.500
Er3 0.500 0.000 0.500
Er4 0.500 0.500 0.000
Hf1 0.250 0.250 0.250
Hf2 0.250 0.750 0.750
Hf3 0.750 0.250 0.750
Hf4 0.750 0.750 0.250
In1 0.000 0.000 0.500
In2 0.000 0.500 0.000
In3 0.500 0.000 0.000
In4 0.500 0.500 0.500
# **Relative energy among the computed polymorphs**: 0 meV/atom
# **SG**: F-43m

***

Ρ readings, ordered: 9140, 5566, 8659 kg/m³
Volume readings, ordered: 243.7, 78.7, 88.3 Å³/f.u.
Total DFT energy (no corrections) readings, ordered: -73.1, -61.7, -62.2 eV/cell